The following is a DFT calculation (PBE-GGA) of an optimized crystal structure of AcPm2NdTm4.

Density of states at the Fermi level, states/eV/f.u.: 18.95
DFT total energy, eV/atom: -4.102

a = 9.6260 Å, b = 9.6260 Å, c = 6.8847 Å
α = 110.95°, β = 110.95°, γ = 88.43°
Atoms (fractional coordinates):
Ac: 0.0000 0.5000 0.0000
Ac: 0.5000 0.0000 0.5000
Pm: 0.0000 0.0000 0.0000
Pm: 0.0000 0.0000 0.5000
Pm: 0.0000 0.5000 0.5000
Pm: 0.5000 0.0000 0.0000
Nd: 0.5000 0.5000 0.0000
Nd: 0.5000 0.5000 0.5000
Tm: 0.2408 0.2572 0.4998
Tm: 0.2491 0.7509 0.5124
Tm: 0.2491 0.7509 0.9876
Tm: 0.2572 0.2408 0.9998
Tm: 0.7428 0.7592 0.0002
Tm: 0.7509 0.2491 0.0124
Tm: 0.7509 0.2491 0.4876
Tm: 0.7592 0.7428 0.5002